First-principles (PBE) data for a relaxed CoReTcTe2 crystal, as listed in Alexandria via LeMat-Bulk.

POSCAR file:
```
CoReTcTe2
1.0
5.1593 0.0000 0.0000
0.0000 4.5622 0.0000
0.0000 0.0000 5.1593
Co Te Tc Re
1 2 1 1
Cartesian
0.0000 2.2811 0.0000
0.0000 0.0000 2.5796
2.5796 0.0000 0.0000
2.5796 2.2811 2.5796
0.0000 0.0000 0.0000
```

Calculated values
ΔE_f (raw) = 7.8 eV per formula unit
Total moment = 4.35 Bohr magnetons per cell
Space-group type = P4/mmm
N(E_F) = 6.7 states/eV/cell